--- 1 ---
Entry from Alexandria via LeMat-Bulk: an optimized crystal structure of LiCuSn3 (PBE-GGA).

The total magnetic moment is 0.00 μB per formula unit.

The space group is Pm-3m (No. 221) and the conventional cell measures 5.1429, 5.1429 and 5.1429 Å, with angles of 90.00, 90.00 and 90.00 degrees. Symmetry generates all atoms from Li at (0.0000, 0.0000, 0.0000), Cu at (0.5000, 0.5000, 0.5000) and Sn at (0.0000, 0.5000, 0.5000).

---

--- 2 ---
Entry from Alexandria via LeMat-Bulk: an optimized crystal structure of LiCuSn3 (PBE-GGA).

The total magnetic moment is 0.00 μB per formula unit.

The space group is C2/c (No. 15) and the conventional cell measures 11.8302, 7.1114 and 11.1310 Å, with angles of 90.00, 107.09 and 90.00 degrees. Symmetry generates all atoms from Li at (0.1112, 0.0233, 0.1549), Cu at (0.0000, 0.2642, 0.7500), Cu at (0.2500, 0.2500, 0.5000), Sn at (0.0299, 0.3009, 0.5105), Sn at (0.1351, 0.4182, 0.2685) and Sn at (0.1897, 0.0994, 0.9098).

---

In terms of stability, 2 leads; the second structure lies 229 meV per atom higher.

---

--- 1 ---
Entry from Alexandria via LeMat-Bulk: an optimized crystal structure of LiCu3Sn (PBE-GGA).

The total magnetic moment is 0.00 μB per formula unit.

The space group is I4mm (No. 107) and the conventional cell measures 3.5210, 3.5210 and 12.8971 Å, with angles of 90.00, 90.00 and 90.00 degrees. Symmetry generates all atoms from Li at (0.0000, 0.0000, 0.0000), Cu at (0.0000, 0.0000, 0.4554), Cu at (0.0000, 0.5000, 0.3176) and Sn at (0.0000, 0.0000, 0.6544).

---

--- 2 ---
Entry from Alexandria via LeMat-Bulk: an optimized crystal structure of LiCu3Sn (PBE-GGA).

The total magnetic moment is 0.00 μB per formula unit.

The space group is Pm-3m (No. 221) and the conventional cell measures 4.2516, 4.2516 and 4.2516 Å, with angles of 90.00, 90.00 and 90.00 degrees. Symmetry generates all atoms from Li at (0.0000, 0.0000, 0.0000), Cu at (0.0000, 0.0000, 0.5000) and Sn at (0.5000, 0.5000, 0.5000).

---

--- 3 ---
Entry from Alexandria via LeMat-Bulk: an optimized crystal structure of LiCu3Sn (PBE-GGA).

The total magnetic moment is 0.00 μB per formula unit.

The space group is Pm-3m (No. 221) and the conventional cell measures 4.8916, 4.8916 and 4.8916 Å, with angles of 90.00, 90.00 and 90.00 degrees. Symmetry generates all atoms from Li at (0.0000, 0.0000, 0.0000), Cu at (0.0000, 0.5000, 0.5000) and Sn at (0.5000, 0.5000, 0.5000).

---

In terms of stability, 1 leads; the second structure lies 472 meV per atom higher.

---

--- 1 ---
Entry from Alexandria via LeMat-Bulk: an optimized crystal structure of SrLi2Cu2 (PBE-GGA).

The total magnetic moment is 0.00 μB per formula unit.

The space group is Cmc2_1 (No. 36) and the conventional cell measures 4.2296, 12.5262 and 7.9825 Å, with angles of 90.00, 90.00 and 90.00 degrees. Symmetry generates all atoms from Sr at (0.0000, 0.0874, 0.0000), Li at (0.0000, 0.1894, 0.6089), Li at (0.0000, 0.3690, 0.8691), Cu at (0.0000, 0.2580, 0.2988) and Cu at (0.0000, 0.4378, 0.1945).

---

--- 2 ---
Entry from Alexandria via LeMat-Bulk: an optimized crystal structure of SrLi2Cu2 (PBE-GGA).

The total magnetic moment is 0.00 μB per formula unit.

The space group is I4/mmm (No. 139) and the conventional cell measures 4.5874, 4.5874 and 9.8823 Å, with angles of 90.00, 90.00 and 90.00 degrees. Symmetry generates all atoms from Sr at (0.0000, 0.0000, 0.0000), Li at (0.0000, 0.0000, 0.3519) and Cu at (0.0000, 0.5000, 0.2500).

---

--- 3 ---
Entry from Alexandria via LeMat-Bulk: an optimized crystal structure of SrLi2Cu2 (PBE-GGA).

The total magnetic moment is 0.00 μB per formula unit.

The space group is C2/m (No. 12) and the conventional cell measures 10.8127, 4.2712 and 5.0738 Å, with angles of 90.00, 107.14 and 90.00 degrees. Symmetry generates all atoms from Sr at (0.0000, 0.0000, 0.0000), Li at (0.1683, 0.5000, 0.5744) and Cu at (0.2332, 0.5000, 0.1049).

---

--- 4 ---
Entry from Alexandria via LeMat-Bulk: an optimized crystal structure of SrLi2Cu2 (PBE-GGA).

The total magnetic moment is 0.00 μB per formula unit.

The space group is P4/mbm (No. 127) and the conventional cell measures 7.5638, 7.5638 and 3.6859 Å, with angles of 90.00, 90.00 and 90.00 degrees. Symmetry generates all atoms from Sr at (0.0000, 0.0000, 0.0000), Li at (0.1415, 0.3585, 0.5000) and Cu at (0.1152, 0.6152, 0.0000).

---

In terms of stability, 3 leads; the second structure lies 15 meV per atom higher.

---

--- 1 ---
Entry from Alexandria via LeMat-Bulk: an optimized crystal structure of SrLi2Cu2 (PBE-GGA).

The total magnetic moment is 0.00 μB per formula unit.

The space group is I4/mmm (No. 139) and the conventional cell measures 4.2358, 4.2358 and 11.6886 Å, with angles of 90.00, 90.00 and 90.00 degrees. Symmetry generates all atoms from Sr at (0.0000, 0.0000, 0.0000), Li at (0.0000, 0.5000, 0.2500) and Cu at (0.0000, 0.0000, 0.3957).

---

--- 2 ---
Entry from Alexandria via LeMat-Bulk: an optimized crystal structure of SrLi2Cu2 (PBE-GGA).

The total magnetic moment is 0.00 μB per formula unit.

The space group is P4/mbm (No. 127) and the conventional cell measures 7.7171, 7.7171 and 3.1894 Å, with angles of 90.00, 90.00 and 90.00 degrees. Symmetry generates all atoms from Sr at (0.0000, 0.0000, 0.0000), Li at (0.1184, 0.3816, 0.0000) and Cu at (0.1686, 0.6686, 0.5000).

---

In terms of stability, 1 leads; the second structure lies 132 meV per atom higher.

---

--- 1 ---
Entry from Alexandria via LeMat-Bulk: an optimized crystal structure of Sr2Li2Cu (PBE-GGA).

The total magnetic moment is 0.00 μB per formula unit.

The space group is P4/mbm (No. 127) and the conventional cell measures 7.5956, 7.5956 and 5.1322 Å, with angles of 90.00, 90.00 and 90.00 degrees. Symmetry generates all atoms from Sr at (0.1860, 0.3140, 0.0000), Li at (0.1337, 0.6337, 0.5000) and Cu at (0.0000, 0.0000, 0.5000).

---

--- 2 ---
Entry from Alexandria via LeMat-Bulk: an optimized crystal structure of Sr2Li2Cu (PBE-GGA).

The total magnetic moment is 0.00 μB per formula unit.

The space group is Immm (No. 71) and the conventional cell measures 5.0602, 5.4244 and 10.6087 Å, with angles of 90.00, 90.00 and 90.00 degrees. Symmetry generates all atoms from Sr at (0.0000, 0.0000, 0.1840), Li at (0.0000, 0.2346, 0.5000) and Cu at (0.0000, 0.5000, 0.0000).

---

--- 3 ---
Entry from Alexandria via LeMat-Bulk: an optimized crystal structure of Sr2Li2Cu (PBE-GGA).

The total magnetic moment is 0.00 μB per formula unit.

The space group is I4/mmm (No. 139) and the conventional cell measures 3.8818, 3.8818 and 19.5798 Å, with angles of 90.00, 90.00 and 90.00 degrees. Symmetry generates all atoms from Sr at (0.0000, 0.0000, 0.0932), Li at (0.0000, 0.5000, 0.2500) and Cu at (0.0000, 0.0000, 0.5000).

---

In terms of stability, 2 leads; the second structure lies 13 meV per atom higher.

---

--- 1 ---
Entry from Alexandria via LeMat-Bulk: an optimized crystal structure of Sr3LiCu (PBE-GGA).

The total magnetic moment is 0.00 μB per formula unit.

The space group is Cm (No. 8) and the conventional cell measures 18.3012, 4.3881 and 9.5320 Å, with angles of 90.00, 90.87 and 90.00 degrees. Symmetry generates all atoms from Sr at (0.0000, 0.0000, 0.0000), Sr at (0.0026, 0.5000, 0.5891), Sr at (0.1432, 0.0000, 0.3498), Sr at (0.1996, 0.5000, 0.0024), Sr at (0.3028, 0.5000, 0.5875), Sr at (0.3601, 0.0000, 0.2400), Li at (0.1578, 0.0000, 0.7244), Li at (0.3443, 0.0000, 0.8653), Cu at (0.0285, 0.5000, 0.2510) and Cu at (0.4754, 0.5000, 0.3380).

---

--- 2 ---
Entry from Alexandria via LeMat-Bulk: an optimized crystal structure of Sr3LiCu (PBE-GGA).

The total magnetic moment is 0.00 μB per formula unit.

The space group is Pm-3m (No. 221) and the conventional cell measures 5.9956, 5.9956 and 5.9956 Å, with angles of 90.00, 90.00 and 90.00 degrees. Symmetry generates all atoms from Sr at (0.0000, 0.0000, 0.5000), Li at (0.5000, 0.5000, 0.5000) and Cu at (0.0000, 0.0000, 0.0000).

---

In terms of stability, 1 leads; the second structure lies 76 meV per atom higher.